# 1
Here is IrAuO2F after structural relaxation from the Alexandria database. Energies are from GGA-PBE.

## Properties
Its formation energy (no corrections) is -265.1 meV per atom. The calculated volume is 18.1 A^3/atom.

Structure (POSCAR):
```
IrAuO2F
1.0
3.6704 0.0000 0.0000
0.0000 3.6704 0.0000
0.0000 0.0000 6.7050
Ir Au O F
1 1 2 1
Direct
0.0000 0.0000 0.0000
0.5000 0.5000 0.5000
0.0000 0.5000 0.0000
0.5000 0.0000 0.0000
0.0000 0.0000 0.5000
```


# 2
Here is RbTlHg2Bi after structural relaxation from the Alexandria database. Energies are from GGA-PBE.

## Properties
The value obtained for the formation energy is -0.19 eV/atom. Its offset from the most stable computed form is 0 meV/atom. The calculated volume is 35.5 A^3/atom.

Structure (POSCAR):
```
RbTlHg2Bi
1.0
-3.5114 2.7498 2.4164
2.4821 -0.9561 4.6949
4.1202 4.4293 -4.3772
Rb Tl Hg Bi
1 1 2 1
Direct
0.4445 0.4445 0.8891
0.1830 0.6830 0.3660
0.6933 0.1933 0.3866
0.0611 0.0611 0.1222
0.8302 0.8302 0.6604
```


# 3
Here is Ta2TcAu after structural relaxation from the Alexandria database. Energies are from GGA-PBE.

## Properties
The value obtained for the formation energy is 0.12 eV/atom. Its offset from the most stable computed form is 258 meV/atom. The calculated volume is 17.0 A^3/atom.

Structure (POSCAR):
```
Ta2TcAu
1.0
4.5826 0.0000 0.0000
2.2913 3.9687 0.0000
2.2913 1.3229 3.7417
Au Ta Tc
1 2 1
Direct
0.5000 0.5000 0.5000
0.0000 0.0000 0.0000
0.7500 0.7500 0.7500
0.2500 0.2500 0.2500
```